A plane-wave DFT calculation with PBE-GGA was carried out for an optimized crystal structure of Ac6Sn3Os.

Geometry as CIF:
```
data_Ac6Sn3Os
_cell_length_a 14.4139
_cell_length_b 14.4139
_cell_length_c 13.6581
_cell_angle_alpha 90.00
_cell_angle_beta 90.00
_cell_angle_gamma 120.00
_symmetry_space_group_name_H-M 'R -3'
_symmetry_Int_Tables_number 148
_symmetry_space_group_name_Hall '-R 3'
loop_
_atom_site_label
_atom_site_type_symbol
_atom_site_fract_x
_atom_site_fract_y
_atom_site_fract_z
_atom_site_occupancy
Ac1 Ac 0.0353 0.1971 0.3967 1
Ac2 Ac 0.0550 0.1954 0.8850 1
Sn1 Sn 0.0477 0.4340 0.3174 1
Os1 Os 0.0000 0.0000 0.0000 1
Os2 Os 0.0000 0.0000 0.5000 1
```

***

A plane-wave DFT calculation with PBE-GGA was carried out for an optimized crystal structure of Ac4SnOs.

Geometry as CIF:
```
data_Ac4SnOs
_cell_length_a 9.3842
_cell_length_b 14.5387
_cell_length_c 6.6993
_cell_angle_alpha 90.00
_cell_angle_beta 109.57
_cell_angle_gamma 90.00
_symmetry_space_group_name_H-M 'C 1 2/c 1'
_symmetry_Int_Tables_number 15
_symmetry_space_group_name_Hall '-C 2yc'
loop_
_atom_site_label
_atom_site_type_symbol
_atom_site_fract_x
_atom_site_fract_y
_atom_site_fract_z
_atom_site_occupancy
Ac1 Ac 0.1099 0.1687 0.0528 1
Ac2 Ac 0.2173 0.4290 0.3776 1
Sn1 Sn 0.0000 0.3749 0.7500 1
Os1 Os 0.0000 0.0006 0.7500 1
```

***

A plane-wave DFT calculation with PBE-GGA was carried out for an optimized crystal structure of Ac4Sn2Os.

Geometry as CIF:
```
data_Ac4Sn2Os
_cell_length_a 12.4975
_cell_length_b 4.8999
_cell_length_c 9.3590
_cell_angle_alpha 90.00
_cell_angle_beta 121.51
_cell_angle_gamma 90.00
_symmetry_space_group_name_H-M 'C 1 2/m 1'
_symmetry_Int_Tables_number 12
_symmetry_space_group_name_Hall '-C 2y'
loop_
_atom_site_label
_atom_site_type_symbol
_atom_site_fract_x
_atom_site_fract_y
_atom_site_fract_z
_atom_site_occupancy
Ac1 Ac 0.0728 0.0000 0.3508 1
Ac2 Ac 0.1681 0.5000 0.0604 1
Sn1 Sn 0.1388 0.5000 0.6540 1
Os1 Os 0.0000 0.0000 0.0000 1
```

***

A plane-wave DFT calculation with PBE-GGA was carried out for an optimized crystal structure of Ac7Sn4Os.

Geometry as CIF:
```
data_Ac7Sn4Os
_cell_length_a 16.6957
_cell_length_b 5.6646
_cell_length_c 12.0502
_cell_angle_alpha 90.00
_cell_angle_beta 124.85
_cell_angle_gamma 90.00
_symmetry_space_group_name_H-M 'C 1 2/m 1'
_symmetry_Int_Tables_number 12
_symmetry_space_group_name_Hall '-C 2y'
loop_
_atom_site_label
_atom_site_type_symbol
_atom_site_fract_x
_atom_site_fract_y
_atom_site_fract_z
_atom_site_occupancy
Ac1 Ac 0.0000 0.0000 0.0000 1
Ac2 Ac 0.0751 0.5000 0.2735 1
Ac3 Ac 0.1408 0.0000 0.5476 1
Ac4 Ac 0.2152 0.5000 0.8716 1
Sn1 Sn 0.0784 0.0000 0.7757 1
Sn2 Sn 0.2253 0.0000 0.3461 1
Os1 Os 0.0000 0.5000 0.0000 1
```

***

A plane-wave DFT calculation with PBE-GGA was carried out for an optimized crystal structure of Ac8Sn3Os.

Geometry as CIF:
```
data_Ac8Sn3Os
_cell_length_a 7.8350
_cell_length_b 7.8350
_cell_length_c 15.6237
_cell_angle_alpha 90.00
_cell_angle_beta 90.00
_cell_angle_gamma 90.00
_symmetry_space_group_name_H-M 'I 4/m m m'
_symmetry_Int_Tables_number 139
_symmetry_space_group_name_Hall '-I 4 2'
loop_
_atom_site_label
_atom_site_type_symbol
_atom_site_fract_x
_atom_site_fract_y
_atom_site_fract_z
_atom_site_occupancy
Ac1 Ac 0.2357 0.2357 0.1182 1
Sn1 Sn 0.0000 0.0000 0.5000 1
Sn2 Sn 0.0000 0.5000 0.2500 1
Os1 Os 0.0000 0.0000 0.0000 1
```

***

A plane-wave DFT calculation with PBE-GGA was carried out for an optimized crystal structure of Ac2Sn8Os.

Geometry as CIF:
```
data_Ac2Sn8Os
_cell_length_a 4.8255
_cell_length_b 4.8255
_cell_length_c 12.8345
_cell_angle_alpha 90.00
_cell_angle_beta 90.00
_cell_angle_gamma 90.00
_symmetry_space_group_name_H-M 'P 4/m m m'
_symmetry_Int_Tables_number 123
_symmetry_space_group_name_Hall '-P 4 2'
loop_
_atom_site_label
_atom_site_type_symbol
_atom_site_fract_x
_atom_site_fract_y
_atom_site_fract_z
_atom_site_occupancy
Ac1 Ac 0.0000 0.0000 0.1945 1
Sn1 Sn 0.0000 0.5000 0.0000 1
Sn2 Sn 0.0000 0.5000 0.3844 1
Sn3 Sn 0.5000 0.5000 0.1986 1
Os1 Os 0.0000 0.0000 0.5000 1
```

***

A plane-wave DFT calculation with PBE-GGA was carried out for an optimized crystal structure of Ac12SnOs6.

Geometry as CIF:
```
data_Ac12SnOs6
_cell_length_a 10.8126
_cell_length_b 10.8126
_cell_length_c 10.8126
_cell_angle_alpha 90.00
_cell_angle_beta 90.00
_cell_angle_gamma 90.00
_symmetry_space_group_name_H-M 'I m -3'
_symmetry_Int_Tables_number 204
_symmetry_space_group_name_Hall '-I 2 2 3'
loop_
_atom_site_label
_atom_site_type_symbol
_atom_site_fract_x
_atom_site_fract_y
_atom_site_fract_z
_atom_site_occupancy
Ac1 Ac 0.0000 0.1928 0.3041 1
Sn1 Sn 0.0000 0.0000 0.0000 1
Os1 Os 0.0000 0.3874 0.5000 1
```

***

A plane-wave DFT calculation with PBE-GGA was carried out for an optimized crystal structure of Sr2Ac6Os.

Geometry as CIF:
```
data_Sr2Ac6Os
_cell_length_a 7.8183
_cell_length_b 16.0610
_cell_length_c 6.3286
_cell_angle_alpha 90.00
_cell_angle_beta 90.00
_cell_angle_gamma 90.00
_symmetry_space_group_name_H-M 'C m m m'
_symmetry_Int_Tables_number 65
_symmetry_space_group_name_Hall '-C 2 2'
loop_
_atom_site_label
_atom_site_type_symbol
_atom_site_fract_x
_atom_site_fract_y
_atom_site_fract_z
_atom_site_occupancy
Sr1 Sr 0.0000 0.2505 0.0000 1
Ac1 Ac 0.2308 0.0000 0.0000 1
Ac2 Ac 0.2453 0.3718 0.5000 1
Os1 Os 0.0000 0.0000 0.5000 1
```

***

A plane-wave DFT calculation with PBE-GGA was carried out for an optimized crystal structure of SrAc4Os.

Geometry as CIF:
```
data_SrAc4Os
_cell_length_a 6.6493
_cell_length_b 7.6655
_cell_length_c 10.4022
_cell_angle_alpha 90.00
_cell_angle_beta 102.03
_cell_angle_gamma 90.00
_symmetry_space_group_name_H-M 'P 1 21/m 1'
_symmetry_Int_Tables_number 11
_symmetry_space_group_name_Hall '-P 2yb'
loop_
_atom_site_label
_atom_site_type_symbol
_atom_site_fract_x
_atom_site_fract_y
_atom_site_fract_z
_atom_site_occupancy
Sr1 Sr 0.2270 0.2500 0.4516 1
Ac1 Ac 0.1167 0.2500 0.0687 1
Ac2 Ac 0.1986 0.7500 0.2898 1
Ac3 Ac 0.3577 0.5046 0.8151 1
Os1 Os 0.3323 0.7500 0.0373 1
```

***

A plane-wave DFT calculation with PBE-GGA was carried out for an optimized crystal structure of SrAc3Os.

Geometry as CIF:
```
data_SrAc3Os
_cell_length_a 5.9741
_cell_length_b 5.9741
_cell_length_c 5.9741
_cell_angle_alpha 90.00
_cell_angle_beta 90.00
_cell_angle_gamma 90.00
_symmetry_space_group_name_H-M 'P m -3 m'
_symmetry_Int_Tables_number 221
_symmetry_space_group_name_Hall '-P 4 2 3'
loop_
_atom_site_label
_atom_site_type_symbol
_atom_site_fract_x
_atom_site_fract_y
_atom_site_fract_z
_atom_site_occupancy
Sr1 Sr 0.0000 0.0000 0.0000 1
Ac1 Ac 0.0000 0.5000 0.5000 1
Os1 Os 0.5000 0.5000 0.5000 1
```

***

A plane-wave DFT calculation with PBE-GGA was carried out for an optimized crystal structure of AcTa2Os2.

Geometry as CIF:
```
data_AcTa2Os2
_cell_length_a 4.4449
_cell_length_b 4.4449
_cell_length_c 11.0762
_cell_angle_alpha 90.00
_cell_angle_beta 90.00
_cell_angle_gamma 90.00
_symmetry_space_group_name_H-M 'I 4/m m m'
_symmetry_Int_Tables_number 139
_symmetry_space_group_name_Hall '-I 4 2'
loop_
_atom_site_label
_atom_site_type_symbol
_atom_site_fract_x
_atom_site_fract_y
_atom_site_fract_z
_atom_site_occupancy
Ac1 Ac 0.0000 0.0000 0.0000 1
Ta1 Ta 0.0000 0.5000 0.2500 1
Os1 Os 0.0000 0.0000 0.3770 1
```

***

no.,volume (Å³ per cell),spin magnetization (μB/atom),formation energy from the elements (eV per atom)
1,2457.5,0.00,-0.345
2,861.2,0.00,-0.278
3,488.6,0.00,-0.420
4,935.3,0.00,-0.289
5,959.1,0.00,-0.269
6,298.9,0.00,-0.336
7,1264.1,0.00,-0.033
8,794.7,0.00,0.139
9,518.6,0.00,0.024
10,213.2,0.00,-0.031
11,218.8,0.00,-0.251